LaTa2 | PBE | relaxed Values from VASP.

```
&SYSTEM
  ibrav = 0, nat = 6, ntyp = 2
/
ATOMIC_SPECIES
La 138.91 La.upf
Ta 180.95 Ta.upf
ATOMIC_POSITIONS crystal
La 0.070 0.930 0.750
La 0.930 0.070 0.250
Ta 0.261 0.739 0.250
Ta 0.360 0.640 0.750
Ta 0.640 0.360 0.250
Ta 0.739 0.261 0.750
CELL_PARAMETERS angstrom
1.778 -8.557 0.000
1.778 8.557 0.000
0.000 0.000 4.771
```

LaTa2 | PBE | relaxed Values from VASP.

```
&SYSTEM
  ibrav = 0, nat = 6, ntyp = 2
/
ATOMIC_SPECIES
La 138.91 La.upf
Ta 180.95 Ta.upf
ATOMIC_POSITIONS crystal
La 0.333 0.667 0.250
La 0.667 0.333 0.750
Ta 0.000 0.000 0.000
Ta 0.000 0.000 0.500
Ta 0.333 0.667 0.750
Ta 0.667 0.333 0.250
CELL_PARAMETERS angstrom
5.044 0.000 0.000
-2.522 4.368 0.000
0.000 0.000 6.022
```

LaTa2 | PBE | relaxed Values from VASP.

```
&SYSTEM
  ibrav = 0, nat = 9, ntyp = 2
/
ATOMIC_SPECIES
La 138.91 La.upf
Ta 180.95 Ta.upf
ATOMIC_POSITIONS crystal
La 0.000 0.000 0.000
La 0.333 0.667 0.500
La 0.667 0.333 0.500
Ta 0.000 0.231 0.500
Ta 0.000 0.499 0.000
Ta 0.231 0.000 0.500
Ta 0.499 0.000 0.000
Ta 0.501 0.501 0.000
Ta 0.769 0.769 0.500
CELL_PARAMETERS angstrom
6.878 0.000 0.000
-3.439 5.956 0.000
0.000 0.000 5.122
```

La7Ta | PBE | relaxed Values from VASP.

```
&SYSTEM
  ibrav = 0, nat = 8, ntyp = 2
/
ATOMIC_SPECIES
La 138.91 La.upf
Ta 180.95 Ta.upf
ATOMIC_POSITIONS crystal
La 0.000 0.000 0.000
La 0.000 0.000 0.500
La 0.000 0.500 0.000
La 0.000 0.500 0.500
La 0.500 0.000 0.000
La 0.500 0.000 0.500
La 0.500 0.500 0.000
Ta 0.500 0.500 0.500
CELL_PARAMETERS angstrom
0.000 5.069 5.069
5.069 0.000 5.069
5.069 5.069 0.000
```

La5Ta | PBE | relaxed Values from VASP.

```
&SYSTEM
  ibrav = 0, nat = 6, ntyp = 2
/
ATOMIC_SPECIES
La 138.91 La.upf
Ta 180.95 Ta.upf
ATOMIC_POSITIONS crystal
La 0.000 0.000 0.000
La 0.000 0.000 0.358
La 0.000 0.000 0.642
La 0.667 0.333 0.175
La 0.667 0.333 0.825
Ta 0.667 0.333 0.500
CELL_PARAMETERS angstrom
3.511 0.000 0.000
-1.755 3.041 0.000
0.000 0.000 17.969
```

LaTa7 | PBE | relaxed Values from VASP.

```
&SYSTEM
  ibrav = 0, nat = 8, ntyp = 2
/
ATOMIC_SPECIES
La 138.91 La.upf
Ta 180.95 Ta.upf
ATOMIC_POSITIONS crystal
La 0.000 0.000 0.000
Ta 0.000 0.000 0.500
Ta 0.000 0.500 0.000
Ta 0.000 0.500 0.500
Ta 0.500 0.000 0.000
Ta 0.500 0.000 0.500
Ta 0.500 0.500 0.000
Ta 0.500 0.500 0.500
CELL_PARAMETERS angstrom
0.000 4.303 4.303
4.303 0.000 4.303
4.303 4.303 0.000
```

LaTa2 | PBE | relaxed Values from VASP.

```
&SYSTEM
  ibrav = 0, nat = 6, ntyp = 2
/
ATOMIC_SPECIES
La 138.91 La.upf
Ta 180.95 Ta.upf
ATOMIC_POSITIONS crystal
La 0.333 0.667 0.385
La 0.667 0.333 0.615
Ta 0.333 0.667 0.070
Ta 0.333 0.667 0.791
Ta 0.667 0.333 0.209
Ta 0.667 0.333 0.930
CELL_PARAMETERS angstrom
3.220 0.000 0.000
-1.610 2.789 0.000
0.000 0.000 15.380
```

LaTa2 | PBE | relaxed Values from VASP.

```
&SYSTEM
  ibrav = 0, nat = 12, ntyp = 2
/
ATOMIC_SPECIES
La 138.91 La.upf
Ta 180.95 Ta.upf
ATOMIC_POSITIONS crystal
La 0.333 0.667 0.064
La 0.333 0.667 0.436
La 0.667 0.333 0.564
La 0.667 0.333 0.936
Ta 0.000 0.000 0.000
Ta 0.000 0.000 0.500
Ta 0.164 0.329 0.750
Ta 0.164 0.836 0.750
Ta 0.329 0.164 0.250
Ta 0.671 0.836 0.750
Ta 0.836 0.164 0.250
Ta 0.836 0.671 0.250
CELL_PARAMETERS angstrom
5.831 0.000 0.000
-2.916 5.050 0.000
0.000 0.000 9.456
```

Table of calculated total energy (eV per atom), in record order: -9.180 -8.755 -8.479 -5.531 -5.755 -10.425 -9.051 -9.227
Table of N(E_F) (states/eV/f.u.), in record order: 3.3 4.5 3.7 15.8 9.2 11.8 4.0 3.4
Table of total moment (μB per cell), in record order: 0.00 0.00 0.00 0.00 0.00 0.00 0.00 0.00